# TcPt3O

A relaxed structure of TcPt3O (GGA-PBE, the Alexandria database).

a b c (Å): 4.2616 4.2616 4.2616
angles (deg): 90.00 90.00 90.00
Site moments in Bohr magnetons follow the coordinates.
Positions (direct):
O 0.0000 0.0000 0.0000  -0.03
Tc 0.5000 0.5000 0.5000  2.70
Pt 0.0000 0.5000 0.0000  0.18
Pt 0.0000 0.0000 0.5000  0.15
Pt 0.5000 0.0000 0.0000  0.23

Summary:
ΔE to the lowest computed polymorph ... 0.0000 eV per atom
N(E_F) ... 6.978 states/eV/f.u.
Formation energy from raw total energies ... 0.745 eV per atom